# 1
# Li2FeI8

A relaxed structure of Li2FeI8 (PBE-GGA, the Alexandria database).

ΔE_f (raw): -0.38 eV per atom
total DFT energy (no corrections): -2.63 eV per atom

```
Li2FeI8
1.0
6.9300 -0.2937 -1.4392
-2.0062 8.3866 0.1193
-0.5934 0.1537 8.6022
I Li Fe
8 2 1
Direct
0.8177 0.9145 0.2289 I
0.8177 0.2289 0.9145 I
0.1823 0.0855 0.7711 I
0.3289 0.2370 0.2370 I
0.7892 0.4242 0.4242 I
0.6711 0.7630 0.7630 I
0.2108 0.5758 0.5758 I
0.1823 0.7711 0.0855 I
0.6739 0.1847 0.1847 Li
0.3261 0.8153 0.8153 Li
0.0000 0.0000 0.0000 Fe
```

# 2
# Pm6PrHo4

A relaxed structure of Pm6PrHo4 (PBE-GGA, the Alexandria database).

formation enthalpy at 0 K: 14.9 kJ per mole of atoms
relative energy among the computed polymorphs: 0.040 eV/atom
total DFT energy (no corrections): -4.54 eV per atom

```
Pm6PrHo4
1.0
3.5824 0.0000 0.0000
0.0000 11.0841 0.0000
0.0000 -5.5420 9.5991
Pm Pr Ho
6 1 4
Direct
0.0000 0.5212 0.4788 Pm
0.5000 0.6346 0.8173 Pm
0.5000 0.1827 0.3654 Pm
0.0000 0.5212 0.0424 Pm
0.5000 0.1827 0.8173 Pm
0.0000 0.9576 0.4788 Pm
0.0000 0.0000 0.0000 Pr
0.5000 0.8371 0.1629 Ho
0.5000 0.3258 0.1629 Ho
0.5000 0.8371 0.6742 Ho
0.0000 0.3333 0.6667 Ho
```

# 3
# Ti2TcAuC

A relaxed structure of Ti2TcAuC (PBE-GGA, the Alexandria database).

formation enthalpy at 0 K: -42.7 kJ per mole of atoms
relative energy among the computed polymorphs: 0.000 eV/atom
total DFT energy (no corrections): -8.17 eV per atom

```
Ti2TcAuC
1.0
4.2135 0.0000 0.0000
0.0000 4.2135 0.0000
0.0000 0.0000 4.0153
Au Ti C Tc
1 2 1 1
Direct
0.5000 0.5000 0.5000 Au
0.5000 0.0000 0.0000 Ti
0.0000 0.5000 0.0000 Ti
0.0000 0.0000 0.0000 C
0.0000 0.0000 0.5000 Tc
```

# 4
# MgInGaHg

A relaxed structure of MgInGaHg (PBE-GGA, the Alexandria database).

formation enthalpy at 0 K: -6.0 kJ per mole of atoms
relative energy among the computed polymorphs: 0.000 eV/atom
total DFT energy (no corrections): -1.98 eV per atom

```
MgInGaHg
1.0
3.3451 0.0000 0.0000
0.0000 3.3451 0.0000
0.0000 0.0000 8.0643
Mg Hg In Ga
1 1 1 1
Direct
0.5000 0.5000 0.3336 Mg
0.0000 0.0000 0.0964 Hg
0.5000 0.5000 0.8017 In
0.0000 0.0000 0.5531 Ga
```

# 5
# CsRb2BRh

A relaxed structure of CsRb2BRh (PBE-GGA, the Alexandria database).

formation enthalpy at 0 K: 56.4 kJ per mole of atoms
total DFT energy (no corrections): -2.78 eV per atom

```
CsRb2BRh
1.0
6.7031 0.0000 0.0000
0.0000 4.1146 0.0000
0.0000 0.0000 6.7031
Cs Rb Rh B
1 2 1 1
Direct
0.5000 0.5000 0.5000 Cs
0.5000 0.0000 0.0000 Rb
0.0000 0.0000 0.5000 Rb
0.0000 0.0000 0.0000 Rh
0.0000 0.5000 0.0000 B
```

# 6
# HfCo3Sn

A relaxed structure of HfCo3Sn (PBE-GGA, the Alexandria database).

formation enthalpy at 0 K: 110.9 kJ per mole of atoms
relative energy among the computed polymorphs: 0.110 eV/atom
total DFT energy (no corrections): -5.90 eV per atom

```
HfCo3Sn
1.0
4.5444 0.0000 0.0000
0.0000 4.5444 0.0000
0.0000 0.0000 4.5444
Co Hf Sn
3 1 1
Direct
0.0000 0.0000 0.5000 Co
0.0000 0.5000 0.0000 Co
0.5000 0.0000 0.0000 Co
0.0000 0.0000 0.0000 Hf
0.5000 0.5000 0.5000 Sn
```

# 7
# PuSc4

A relaxed structure of PuSc4 (PBE-GGA, the Alexandria database).

formation enthalpy at 0 K: 10.9 kJ per mole of atoms
relative energy among the computed polymorphs: 0.067 eV/atom
total DFT energy (no corrections): -7.82 eV per atom

```
PuSc4
1.0
5.4182 0.0000 0.0000
0.0000 9.1127 -0.2863
0.0000 -1.3487 5.0730
Sc Pu
8 2
Direct
0.0422 0.7906 0.3951 Sc
0.4463 0.4019 0.7010 Sc
0.9578 0.2094 0.6049 Sc
0.5537 0.5981 0.2990 Sc
0.5422 0.2094 0.1049 Sc
0.9463 0.5981 0.7990 Sc
0.0537 0.4019 0.2010 Sc
0.4578 0.7906 0.8951 Sc
0.0000 0.0000 0.0000 Pu
0.5000 0.0000 0.5000 Pu
```

no.,spin magnetization (μB per atom)
1,0.3152
2,0.0000
3,0.0000
4,0.0000
5,0.0001
6,0.3798
7,1.3043